# 1
# Cs2TeS3

An optimized crystal structure of Cs2TeS3 (PBE, Alexandria).

* total moment: 0.00 μB/f.u.
* E_form (uncorrected): -440 kJ/mol of formula units
* crystal system: monoclinic
* density of states at the Fermi level: 0.000 states/eV/atom
* offset from the most stable computed form: 0 meV per atom
* volume: 41.23 Å³/atom

```
Cs2TeS3
1.0
10.283 0.000 0.000
0.000 13.084 0.000
-9.858 0.000 14.709
Cs Te S
16 8 24
Cartesian
0.577 2.971 1.065 Cs
-4.353 3.571 8.419 Cs
-0.606 1.163 5.534 Cs
-5.535 5.379 12.889 Cs
-2.940 8.215 9.597 Cs
1.989 11.411 2.242 Cs
-0.190 8.541 5.751 Cs
-5.119 11.085 13.105 Cs
5.544 1.999 1.604 Cs
0.615 4.543 8.959 Cs
-1.564 1.673 12.467 Cs
3.365 4.869 5.113 Cs
5.960 7.705 1.820 Cs
1.030 11.921 9.175 Cs
4.777 9.513 6.290 Cs
-0.152 10.113 13.645 Cs
-7.410 1.447 11.941 Te
-2.481 5.095 4.586 Te
1.918 7.106 1.713 Te
-3.012 12.519 9.068 Te
3.436 0.565 5.642 Te
-1.493 5.977 12.996 Te
2.906 7.989 10.124 Te
7.835 11.637 2.769 Te
-1.314 9.581 2.478 S
-6.243 10.045 9.833 S
-8.446 0.031 13.530 S
-3.516 6.511 6.176 S
-7.244 8.489 14.632 S
-2.315 11.137 7.277 S
-5.206 1.763 12.717 S
-0.277 4.779 5.363 S
-1.621 1.351 8.911 S
3.308 5.190 1.556 S
2.625 1.626 3.689 S
-2.304 4.916 11.044 S
2.729 8.167 3.665 S
-2.200 11.458 11.020 S
-2.883 7.893 13.154 S
2.046 11.732 5.799 S
0.701 8.305 9.347 S
5.630 11.321 1.992 S
2.740 1.947 7.432 S
7.669 4.595 0.077 S
3.941 6.573 8.534 S
8.870 13.053 1.179 S
6.668 3.039 4.877 S
1.739 3.503 12.231 S
```

# 2
# Sm4Sn8Rh

An optimized crystal structure of Sm4Sn8Rh (PBE, Alexandria).

* total moment: 0.00 μB/f.u.
* crystal system: orthorhombic
* density of states at the Fermi level: 0.450 states/eV/atom
* ΔH_f (0 K): -0.644 eV/atom
* volume: 26.41 Å³/atom

```
Sm4Sn8Rh
1.0
4.458 0.000 0.000
0.000 4.521 0.000
0.000 0.000 17.036
Sm Sn Rh
4 8 1
Cartesian
0.000 0.000 0.000 Sm
0.000 2.260 8.304 Sm
2.229 0.000 13.421 Sm
2.229 2.260 4.982 Sm
0.000 0.000 5.559 Sn
0.000 0.000 10.654 Sn
0.000 2.260 2.478 Sn
0.000 2.260 14.566 Sn
2.229 0.000 2.518 Sn
2.229 0.000 7.638 Sn
2.229 2.260 10.627 Sn
2.229 2.260 16.522 Sn
0.000 2.260 11.996 Rh
```

# 3
# LaAs2Rh

An optimized crystal structure of LaAs2Rh (PBE, Alexandria).

* total moment: 0.00 μB/f.u.
* crystal system: trigonal
* density of states at the Fermi level: 0.129 states/eV/atom
* ΔH_f (0 K): -0.993 eV/atom
* volume: 20.83 Å³/atom

```
LaAs2Rh
1.0
2.057 1.188 5.682
-2.057 1.188 5.682
0.000 -2.376 5.682
La As Rh
1 2 1
Cartesian
0.000 0.000 0.000 La
0.000 0.000 3.857 As
0.000 0.000 13.189 As
0.000 0.000 8.523 Rh
```

# 4
# MnZn2Se

An optimized crystal structure of MnZn2Se (PBE, Alexandria).

* total moment: 4.21 μB/f.u.
* E_form (uncorrected): 20 kJ/mol of formula units
* crystal system: monoclinic
* density of states at the Fermi level: 0.317 states/eV/atom
* volume: 18.26 Å³/atom

```
MnZn2Se
1.0
5.812 -1.789 0.000
5.812 1.789 0.000
-0.931 0.000 3.513
Mn Zn Se
1 2 1
Cartesian
0.000 0.000 0.000 Mn
2.516 0.000 2.726 Zn
8.177 0.000 0.787 Zn
5.347 0.000 1.757 Se
```

# 5
# Rb3V5Se12

An optimized crystal structure of Rb3V5Se12 (PBE, Alexandria).

* total moment: 3.99 μB/f.u.
* E_form (uncorrected): -1272 kJ/mol of formula units
* crystal system: cubic
* density of states at the Fermi level: 0.509 states/eV/atom
* volume: 27.84 Å³/atom

```
Rb3V5Se12
1.0
-8.227 8.227 8.227
8.227 -8.227 8.227
8.227 8.227 -8.227
Rb V Se
12 20 48
Cartesian
4.114 2.057 0.000 Rb
8.227 4.114 -2.057 Rb
2.057 0.000 4.114 Rb
10.284 0.000 4.114 Rb
0.000 4.114 2.057 Rb
4.114 -2.057 8.227 Rb
4.114 10.284 0.000 Rb
8.227 4.114 6.170 Rb
-2.057 8.227 4.114 Rb
6.170 8.227 4.114 Rb
0.000 4.114 10.284 Rb
4.114 6.170 8.227 Rb
0.000 0.000 0.000 V
4.114 4.114 -4.114 V
4.114 -4.114 4.114 V
8.227 0.000 0.000 V
12.341 2.057 0.000 V
8.227 -4.114 6.170 V
6.170 8.227 -4.114 V
6.170 0.000 4.114 V
4.114 6.170 0.000 V
8.227 4.114 2.057 V
-4.114 4.114 4.114 V
0.000 8.227 0.000 V
0.000 0.000 8.227 V
4.114 4.114 4.114 V
0.000 4.114 6.170 V
4.114 2.057 8.227 V
2.057 8.227 4.114 V
2.057 0.000 12.341 V
0.000 12.341 2.057 V
-4.114 6.170 8.227 V
6.476 -4.840 4.852 Se
14.093 0.738 -0.727 Se
10.589 0.738 0.727 Se
9.979 -3.387 4.852 Se
4.852 6.476 -4.840 Se
7.489 -0.727 2.362 Se
11.614 3.375 -1.752 Se
8.954 -5.865 7.489 Se
7.489 8.954 -5.865 Se
4.840 4.852 -1.752 Se
7.501 2.362 0.738 Se
4.852 -1.752 4.840 Se
7.489 7.501 -2.362 Se
4.852 1.752 3.387 Se
13.068 3.375 1.752 Se
7.501 -2.362 7.489 Se
4.852 9.979 -3.387 Se
3.387 4.852 1.752 Se
8.954 5.865 0.738 Se
7.489 0.727 5.865 Se
2.362 7.489 -0.727 Se
9.979 3.387 3.375 Se
5.865 7.489 0.727 Se
6.476 4.840 3.375 Se
1.752 3.387 4.852 Se
2.362 0.738 7.501 Se
-1.752 4.840 4.852 Se
5.865 0.738 8.954 Se
0.738 7.501 2.362 Se
-0.727 2.362 7.489 Se
4.840 3.375 6.476 Se
3.375 -1.752 11.614 Se
0.727 10.589 0.738 Se
-4.840 4.852 6.476 Se
3.375 6.476 4.840 Se
0.738 0.727 10.589 Se
3.375 9.979 3.387 Se
0.727 5.865 7.489 Se
3.387 3.375 9.979 Se
0.738 -0.727 14.093 Se
-0.727 14.093 0.738 Se
-3.387 4.852 9.979 Se
0.738 8.954 5.865 Se
3.375 1.752 13.068 Se
-1.752 11.614 3.375 Se
-2.362 7.489 7.501 Se
-5.865 7.489 8.954 Se
1.752 13.068 3.375 Se
```

# 6
# InCo2MoC

An optimized crystal structure of InCo2MoC (PBE, Alexandria).

* total moment: 2.53 μB/f.u.
* crystal system: tetragonal
* density of states at the Fermi level: 0.846 states/eV/atom
* ΔH_f (0 K): 0.109 eV/atom
* volume: 12.86 Å³/atom

```
InCo2MoC
1.0
3.945 0.000 0.000
0.000 3.945 0.000
0.000 0.000 4.132
In Co Mo C
1 2 1 1
Cartesian
0.000 0.000 0.000 In
0.000 1.973 2.066 Co
1.973 0.000 2.066 Co
1.973 1.973 0.000 Mo
1.973 1.973 2.066 C
```

# 7
# ZrReAs2

An optimized crystal structure of ZrReAs2 (PBE, Alexandria).

* total moment: 0.00 μB/f.u.
* crystal system: monoclinic
* density of states at the Fermi level: 0.500 states/eV/atom
* offset from the most stable computed form: 260 meV per atom
* ΔH_f (0 K): -0.145 eV/atom
* volume: 17.98 Å³/atom

```
ZrReAs2
1.0
3.322 0.000 0.000
0.000 4.083 0.000
-0.407 0.000 5.302
Zr Re As
1 1 2
Cartesian
0.000 0.000 0.000 Zr
1.458 0.000 2.651 Re
0.978 2.042 3.985 As
1.937 2.042 1.318 As
```

# 8
# ZnSiIr2

An optimized crystal structure of ZnSiIr2 (PBE, Alexandria).

* total moment: 0.00 μB/f.u.
* E_form (uncorrected): -18 kJ/mol of formula units
* crystal system: orthorhombic
* density of states at the Fermi level: 0.694 states/eV/atom
* volume: 14.46 Å³/atom

```
ZnSiIr2
1.0
2.914 0.000 0.000
0.000 4.071 0.000
0.000 0.000 4.874
Zn Si Ir
1 1 2
Cartesian
0.000 0.000 0.000 Zn
1.457 0.000 2.437 Si
0.000 2.036 2.437 Ir
1.457 2.036 0.000 Ir
```

# 9
# Tb3Pr4SmSe8

An optimized crystal structure of Tb3Pr4SmSe8 (PBE, Alexandria).

* total moment: 0.00 μB/f.u.
* E_form (uncorrected): -2800 kJ/mol of formula units
* crystal system: trigonal
* density of states at the Fermi level: 0.599 states/eV/atom
* volume: 26.05 Å³/atom

```
Tb3Pr4SmSe8
1.0
4.156 2.399 6.965
-4.156 2.399 6.965
0.000 -4.799 6.965
Tb Pr Sm Se
3 4 1 8
Cartesian
-2.078 -1.200 6.965 Tb
-2.078 1.200 13.930 Tb
0.000 2.399 6.965 Tb
-4.156 0.000 10.448 Pr
-2.078 1.200 3.483 Pr
2.078 1.200 3.483 Pr
0.000 0.000 10.448 Pr
0.000 0.000 0.000 Sm
0.000 -2.375 8.610 Se
-2.056 1.187 8.610 Se
0.000 0.000 5.337 Se
-2.056 -1.187 12.286 Se
2.056 1.187 8.610 Se
0.000 0.000 15.558 Se
2.056 -1.187 12.286 Se
0.000 2.375 12.286 Se
```

# 10
# Dy2HfAg

An optimized crystal structure of Dy2HfAg (PBE, Alexandria).

* total moment: 0.00 μB/f.u.
* crystal system: tetragonal
* density of states at the Fermi level: 0.872 states/eV/atom
* offset from the most stable computed form: 0 meV per atom
* ΔH_f (0 K): -0.089 eV/atom
* volume: 25.13 Å³/atom

```
Dy2HfAg
1.0
3.416 0.000 0.000
0.000 3.416 0.000
0.000 0.000 8.615
Dy Hf Ag
2 1 1
Cartesian
0.000 0.000 2.045 Dy
0.000 0.000 6.569 Dy
1.708 1.708 4.307 Hf
1.708 1.708 0.000 Ag
```

# 11
# Ni5Mo2Pt5

An optimized crystal structure of Ni5Mo2Pt5 (PBE, Alexandria).

* total moment: 0.00 μB/f.u.
* crystal system: monoclinic
* density of states at the Fermi level: 1.008 states/eV/atom
* ΔH_f (0 K): -0.177 eV/atom
* volume: 13.76 Å³/atom

```
Ni5Mo2Pt5
1.0
5.658 -1.887 0.000
5.658 1.887 0.000
-3.701 0.000 7.735
Ni Mo Pt
5 2 5
Cartesian
0.000 0.000 0.000 Ni
0.012 0.000 3.904 Ni
1.977 0.000 2.017 Ni
5.636 0.000 5.718 Ni
7.602 0.000 3.831 Ni
-1.805 0.000 5.805 Mo
9.419 0.000 1.930 Mo
3.795 0.000 0.010 Pt
1.899 0.000 5.754 Pt
3.807 0.000 3.868 Pt
5.715 0.000 1.981 Pt
3.819 0.000 7.725 Pt
```

# 12
# Ba6Rh2Br3N

An optimized crystal structure of Ba6Rh2Br3N (PBE, Alexandria).

* total moment: 0.00 μB/f.u.
* E_form (uncorrected): -1182 kJ/mol of formula units
* crystal system: monoclinic
* volume: 34.44 Å³/atom

```
Ba6Rh2Br3N
1.0
3.853 -6.674 0.000
3.853 6.674 0.000
-2.576 0.000 8.034
Ba Rh Br N
6 2 3 1
Cartesian
1.189 2.061 1.595 Ba
-0.200 0.000 6.445 Ba
1.189 -2.061 1.595 Ba
3.941 2.061 6.439 Ba
5.331 0.000 1.589 Ba
3.941 -2.061 6.439 Ba
3.853 2.224 0.000 Rh
3.853 -2.224 0.000 Rh
2.565 4.423 4.017 Br
2.565 0.000 4.017 Br
2.565 -4.423 4.017 Br
0.000 0.000 0.000 N
```